MnZnO2 | PBE+U | relaxed

Cell: 3.099 8.152 8.567 Å, 89.13 97.28 94.58°
Positions (direct):
Mn: 0.332 0.736 0.924
Mn: 0.163 0.908 0.281
Mn: 0.837 0.092 0.719
Mn: 0.668 0.264 0.076
Zn: 0.747 0.585 0.244
Zn: 0.253 0.415 0.756
Zn: 0.250 0.244 0.385
Zn: 0.750 0.756 0.615
O: 0.107 0.238 0.917
O: 0.318 0.892 0.721
O: 0.682 0.108 0.279
O: 0.893 0.762 0.083
O: 0.793 0.575 0.775
O: 0.672 0.762 0.392
O: 0.207 0.425 0.225
O: 0.328 0.238 0.608

## Properties
Calculated total energy = -97.1 eV per cell